# KCu2Re GGA-PBE relaxed
data_KCu2Re
_chemical_formula_sum 'K2 Cu4 Re2'
_symmetry_space_group_name_H-M 'I m m 2'
_symmetry_Int_Tables_number 44
_symmetry_space_group_name_Hall 'I 2 -2'
_cell_length_a 2.569
_cell_length_b 5.045
_cell_length_c 10.630
_cell_angle_alpha 90.00
_cell_angle_beta 90.00
_cell_angle_gamma 90.00
loop_
_atom_site_label
_atom_site_type_symbol
_atom_site_fract_x
_atom_site_fract_y
_atom_site_fract_z
K1 K 0.000 0.000 0.000
Cu1 Cu 0.000 0.000 0.511
Cu2 Cu 0.000 0.500 0.223
Re1 Re 0.000 0.500 0.794
# - formation energy from the elements (eV/atom) = 0.898
# - N(E_F) (states/eV/cell) = 6.079
# - energy relative to the lowest polymorph listed for this composition (meV/atom) = 247